# 1
# PBE TbErSe2Br2, optimized geometry
data_TbErSe2Br2
_cell_length_a 4.0919
_cell_length_b 5.6155
_cell_length_c 8.5489
_cell_angle_alpha 90.00
_cell_angle_beta 90.00
_cell_angle_gamma 90.00
_space_group_name_H-M_alt 'P m m 2'
_space_group_IT_number 25
loop_
_space_group_symop_operation_xyz
'x,y,z'
'-x,-y,z'
'-x,y,z'
'x,-y,z'
loop_
_atom_site_label
_atom_site_fract_x
_atom_site_fract_y
_atom_site_fract_z
Tb1 0.0000 0.0000 0.0000
Er1 0.5000 0.5000 0.7259
Se1 0.0000 0.5000 0.9582
Se2 0.5000 0.0000 0.7621
Br1 0.0000 0.5000 0.5028
Br2 0.5000 0.0000 0.2287
# DFT total energy = -5.1399 eV per atom



# 2
# PBE ErTmSe2Br2, optimized geometry
data_ErTmSe2Br2
_cell_length_a 4.0573
_cell_length_b 5.5784
_cell_length_c 8.4332
_cell_angle_alpha 90.00
_cell_angle_beta 90.00
_cell_angle_gamma 90.00
_space_group_name_H-M_alt 'P m m 2'
_space_group_IT_number 25
loop_
_space_group_symop_operation_xyz
'x,y,z'
'-x,-y,z'
'-x,y,z'
'x,-y,z'
loop_
_atom_site_label
_atom_site_fract_x
_atom_site_fract_y
_atom_site_fract_z
Er1 0.0000 0.0000 0.0000
Tm1 0.5000 0.5000 0.2721
Se1 0.0000 0.5000 0.0377
Se2 0.5000 0.0000 0.2367
Br1 0.0000 0.5000 0.4987
Br2 0.5000 0.0000 0.7717
# DFT total energy = -5.1058 eV per atom



# 3
# PBE ErTe2Br2, optimized geometry
data_ErTe2Br2
_cell_length_a 7.2529
_cell_length_b 14.4200
_cell_length_c 7.2187
_cell_angle_alpha 90.00
_cell_angle_beta 104.06
_cell_angle_gamma 90.00
_space_group_name_H-M_alt 'C 1 2/m 1'
_space_group_IT_number 12
loop_
_space_group_symop_operation_xyz
'x,y,z'
'-x,-y,-z'
'-x,y,-z'
'x,-y,z'
'x+1/2,y+1/2,z'
'-x+1/2,-y+1/2,-z'
'-x+1/2,y+1/2,-z'
'x+1/2,-y+1/2,z'
loop_
_atom_site_label
_atom_site_fract_x
_atom_site_fract_y
_atom_site_fract_z
Er1 0.0000 0.1703 0.0000
Te1 0.0852 0.0000 0.3362
Te2 0.2425 0.5000 0.0632
Br1 0.1674 0.2627 0.7446
# DFT total energy = -4.0084 eV per atom



# 4
# PBE ErTeBr, optimized geometry
data_ErTeBr
_cell_length_a 7.4851
_cell_length_b 8.3295
_cell_length_c 7.3252
_cell_angle_alpha 90.00
_cell_angle_beta 110.73
_cell_angle_gamma 90.00
_space_group_name_H-M_alt 'P 1 21/c 1'
_space_group_IT_number 14
loop_
_space_group_symop_operation_xyz
'x,y,z'
'-x,-y,-z'
'-x,y+1/2,-z+1/2'
'x,-y+1/2,z+1/2'
loop_
_atom_site_label
_atom_site_fract_x
_atom_site_fract_y
_atom_site_fract_z
Er1 0.0145 0.1287 0.2402
Te1 0.2593 0.1187 0.0028
Br1 0.2204 0.6237 0.9994
# DFT total energy = -4.6623 eV per atom



# 5
# PBE Pr3GaBr2F, optimized geometry
data_Pr3GaBr2F
_cell_length_a 5.8188
_cell_length_b 5.8188
_cell_length_c 6.0115
_cell_angle_alpha 90.00
_cell_angle_beta 90.00
_cell_angle_gamma 90.00
_space_group_name_H-M_alt 'P 4/m m m'
_space_group_IT_number 123
_space_group_name_Hall '-P 4 2'
loop_
_atom_site_label
_atom_site_fract_x
_atom_site_fract_y
_atom_site_fract_z
Pr1 0.0000 0.0000 0.0000
Pr2 0.0000 0.5000 0.5000
Ga1 0.0000 0.0000 0.5000
Br1 0.0000 0.5000 0.0000
F1 0.5000 0.5000 0.5000
# DFT total energy = -4.7609 eV per atom



# 6
# PBE Gd2SbBrF, optimized geometry
data_Gd2SbBrF
_cell_length_a 4.0873
_cell_length_b 4.0873
_cell_length_c 8.7245
_cell_angle_alpha 90.00
_cell_angle_beta 90.00
_cell_angle_gamma 120.00
_space_group_name_H-M_alt 'P 3 m 1'
_space_group_IT_number 156
loop_
_space_group_symop_operation_xyz
'x,y,z'
'-y,x-y,z'
'-x+y,-x,z'
'-y,-x,z'
'-x+y,y,z'
'x,x-y,z'
loop_
_atom_site_label
_atom_site_fract_x
_atom_site_fract_y
_atom_site_fract_z
Gd1 0.0000 0.0000 0.0000
Gd2 0.3333 0.6667 0.4307
Sb1 0.6667 0.3333 0.2187
Br1 0.0000 0.0000 0.6457
F1 0.3333 0.6667 0.9191
# DFT total energy = -5.3105 eV per atom



# 7
# PBE Pr2GeBrF, optimized geometry
data_Pr2GeBrF
_cell_length_a 4.2085
_cell_length_b 4.2085
_cell_length_c 8.6271
_cell_angle_alpha 90.00
_cell_angle_beta 90.00
_cell_angle_gamma 120.00
_space_group_name_H-M_alt 'P 3 m 1'
_space_group_IT_number 156
loop_
_space_group_symop_operation_xyz
'x,y,z'
'-y,x-y,z'
'-x+y,-x,z'
'-y,-x,z'
'-x+y,y,z'
'x,x-y,z'
loop_
_atom_site_label
_atom_site_fract_x
_atom_site_fract_y
_atom_site_fract_z
Pr1 0.0000 0.0000 0.0000
Pr2 0.3333 0.6667 0.6006
Ge1 0.6667 0.3333 0.7883
Br1 0.0000 0.0000 0.3723
F1 0.3333 0.6667 0.0865
# DFT total energy = -5.4604 eV per atom



# 8
# PBE Hg2BrF, optimized geometry
data_Hg2BrF
_cell_length_a 4.4187
_cell_length_b 4.4187
_cell_length_c 10.8394
_cell_angle_alpha 90.00
_cell_angle_beta 90.00
_cell_angle_gamma 90.00
_space_group_name_H-M_alt 'I 4 m m'
_space_group_IT_number 107
_space_group_name_Hall 'I 4 -2'
loop_
_atom_site_label
_atom_site_fract_x
_atom_site_fract_y
_atom_site_fract_z
Hg1 0.0000 0.0000 0.0000
Hg2 0.0000 0.0000 0.2397
Br1 0.0000 0.0000 0.4776
F1 0.0000 0.0000 0.8020
# DFT total energy = -1.7896 eV per atom